--- a ---
The following is a DFT calculation (GGA-PBE) of an optimized crystal structure of Nb2SN. Values from VASP.

```
&SYSTEM
  ibrav = 0, nat = 24, ntyp = 3
/
ATOMIC_SPECIES
Nb 92.91 Nb.upf
S 32.06 S.upf
N 14.01 N.upf
ATOMIC_POSITIONS crystal
Nb 0.022 0.895 0.602
Nb 0.105 0.978 0.898
Nb 0.189 0.347 0.091
Nb 0.268 0.499 0.407
Nb 0.347 0.189 0.591
Nb 0.499 0.268 0.907
Nb 0.501 0.732 0.093
Nb 0.653 0.811 0.409
Nb 0.732 0.501 0.593
Nb 0.811 0.653 0.909
Nb 0.895 0.022 0.102
Nb 0.978 0.105 0.398
S 0.085 0.255 0.754
S 0.255 0.085 0.254
S 0.419 0.581 0.750
S 0.581 0.419 0.250
S 0.745 0.915 0.746
S 0.915 0.745 0.246
N 0.000 0.500 0.500
N 0.186 0.642 0.995
N 0.358 0.814 0.505
N 0.500 0.000 0.000
N 0.642 0.186 0.495
N 0.814 0.358 0.005
CELL_PARAMETERS angstrom
4.995 -2.864 0.000
4.995 2.864 0.000
-3.276 0.000 11.567
```

=====

--- b ---
The following is a DFT calculation (GGA-PBE) of an optimized crystal structure of Nb2SN. Values from VASP.

```
&SYSTEM
  ibrav = 0, nat = 8, ntyp = 3
/
ATOMIC_SPECIES
Nb 92.91 Nb.upf
S 32.06 S.upf
N 14.01 N.upf
ATOMIC_POSITIONS crystal
Nb 0.333 0.667 0.106
Nb 0.333 0.667 0.394
Nb 0.667 0.333 0.606
Nb 0.667 0.333 0.894
S 0.333 0.667 0.750
S 0.667 0.333 0.250
N 0.000 0.000 0.000
N 0.000 0.000 0.500
CELL_PARAMETERS angstrom
3.142 0.000 0.000
-1.571 2.721 0.000
0.000 0.000 12.379
```

=====

In terms of stability, a leads; the second structure lies 14 meV per atom higher.

=====

--- a ---
The following is a DFT calculation (GGA-PBE) of an optimized crystal structure of LiGaMoIr. Values from VASP.

```
&SYSTEM
  ibrav = 0, nat = 16, ntyp = 4
/
ATOMIC_SPECIES
Li 6.94 Li.upf
Ga 69.72 Ga.upf
Mo 95.94 Mo.upf
Ir 192.22 Ir.upf
ATOMIC_POSITIONS crystal
Li 0.000 0.000 0.000
Li 0.000 0.500 0.500
Li 0.500 0.000 0.500
Li 0.500 0.500 0.000
Ga 0.250 0.250 0.750
Ga 0.250 0.750 0.250
Ga 0.750 0.250 0.250
Ga 0.750 0.750 0.750
Mo 0.250 0.250 0.250
Mo 0.250 0.750 0.750
Mo 0.750 0.250 0.750
Mo 0.750 0.750 0.250
Ir 0.000 0.000 0.500
Ir 0.000 0.500 0.000
Ir 0.500 0.000 0.000
Ir 0.500 0.500 0.500
CELL_PARAMETERS angstrom
6.076 0.000 0.000
0.000 6.076 0.000
0.000 0.000 6.076
```

=====

--- b ---
The following is a DFT calculation (GGA-PBE) of an optimized crystal structure of LiGaMoIr. Values from VASP.

```
&SYSTEM
  ibrav = 0, nat = 16, ntyp = 4
/
ATOMIC_SPECIES
Li 6.94 Li.upf
Ga 69.72 Ga.upf
Mo 95.94 Mo.upf
Ir 192.22 Ir.upf
ATOMIC_POSITIONS crystal
Li 0.000 0.000 0.000
Li 0.000 0.500 0.500
Li 0.500 0.000 0.500
Li 0.500 0.500 0.000
Ga 0.000 0.000 0.500
Ga 0.000 0.500 0.000
Ga 0.500 0.000 0.000
Ga 0.500 0.500 0.500
Mo 0.250 0.250 0.250
Mo 0.250 0.750 0.750
Mo 0.750 0.250 0.750
Mo 0.750 0.750 0.250
Ir 0.250 0.250 0.750
Ir 0.250 0.750 0.250
Ir 0.750 0.250 0.250
Ir 0.750 0.750 0.750
CELL_PARAMETERS angstrom
6.060 0.000 0.000
0.000 6.060 0.000
0.000 0.000 6.060
```

=====

In terms of stability, a leads; the second structure lies 322 meV per atom higher.